First-principles (PBE) data for a geometry-optimized PbICl structure, as listed in Alexandria via LeMat-Bulk.

Cell and atoms, written as POSCAR:
```
PbICl
1.0
7.810 0.000 0.000
0.000 4.532 0.000
0.000 0.000 14.095
Pb I Cl
4 4 4
Cartesian
1.887 1.133 0.033 Pb
2.018 3.399 7.081 Pb
5.792 1.133 7.014 Pb
5.923 3.399 14.062 Pb
0.709 1.133 5.146 I
3.196 3.399 12.193 I
4.614 1.133 1.901 I
7.101 3.399 8.949 I
0.615 3.399 1.454 Cl
3.290 1.133 8.501 Cl
4.519 3.399 5.594 Cl
7.195 1.133 12.641 Cl
```

Output
E_form (uncorrected) ... -0.889 eV/atom
Total energy ... -39.09 eV/cell
Magnetic moment ... 0.00 μB/f.u.
SG ... Pnma
N(E_F) ... 0.00 states/eV per cell